No. 1
{"formula": "Mn2NbCo2", "functional": "PBE", "state": "relaxed", "cell": [[-1.727, 1.727, 5.294], [1.727, -1.727, 5.294], [1.727, 1.727, -5.294]], "species": ["Mn", "Mn", "Nb", "Co", "Co"], "frac_coords": [[0.250, 0.750, 0.500], [0.750, 0.250, 0.500], [0.000, 0.000, 0.000], [0.397, 0.397, 0.000], [0.603, 0.603, 0.000]], "polymorph_energy_ev_per_atom": 0.090, "dos_at_fermi_per_ev_atom": 1.1921, "e_form_kj_per_mol_atoms": 17.2, "sg": "I4/mmm"}

No. 2
{"formula": "Mn2NbCo", "functional": "PBE", "state": "relaxed", "cell": [[-3.337, 3.337, 2.578], [3.337, -3.337, 2.578], [3.337, 3.337, -2.578]], "species": ["Mn", "Mn", "Mn", "Mn", "Nb", "Nb", "Co", "Co"], "frac_coords": [[0.096, 0.625, 0.971], [0.375, 0.346, 0.471], [0.654, 0.125, 0.029], [0.875, 0.904, 0.529], [0.250, 0.750, 0.500], [0.500, 0.500, 0.000], [0.000, 0.000, 0.000], [0.750, 0.250, 0.500]], "polymorph_energy_ev_per_atom": 0.436, "dos_at_fermi_per_ev_atom": 0.7282, "e_form_kj_per_mol_atoms": 42.6, "sg": "I-42d"}

In order of appearance, final energy = -41.729, -33.749 eV per formula unit.